Record 1
DFT (PBE) results for a relaxed ZnAg2PSe4 crystal.

Structure (extended XYZ):
```
8
Lattice="4.268 -5.592 0.000 4.268 5.592 0.000 -4.266 0.000 4.274" Properties=species:S:1:pos:R:3 pbc="T T T"
Zn 0.000 0.000 0.000
Ag 2.135 2.798 2.137
Ag 4.268 0.001 0.000
P 2.135 -2.795 2.137
Se -0.163 1.431 2.040
Se 2.038 -1.431 0.162
Se 4.434 1.431 2.234
Se 2.232 -1.431 4.112
```

Results
Final energy = -3.4358 eV per atom
Crystal system = monoclinic
Spin magnetization = 0.00 μB/cell


Record 2
DFT (PBE) results for a relaxed NdErMgIr crystal.

Structure (extended XYZ):
```
4
Lattice="0.000 3.600 3.600 3.600 0.000 3.600 3.600 3.600 0.000" Properties=species:S:1:pos:R:3 pbc="T T T"
Nd 0.000 0.000 0.000
Er 3.600 3.600 3.600
Mg 5.400 5.400 5.400
Ir 1.800 1.800 1.800
```

Results
ΔH_f (0 K) = -0.384 eV per atom
Crystal system = cubic
Spin magnetization = 0.00 μB/cell


Record 3
DFT (PBE) results for a relaxed PmAgHgPt crystal.

Structure (extended XYZ):
```
4
Lattice="0.000 3.504 3.504 3.504 0.000 3.504 3.504 3.504 0.000" Properties=species:S:1:pos:R:3 pbc="T T T"
Pm 0.000 0.000 0.000
Ag 1.752 1.752 1.752
Hg 3.504 3.504 3.504
Pt 5.256 5.256 5.256
```

Results
ΔH_f (0 K) = -0.480 eV per atom
Crystal system = cubic
Spin magnetization = 0.00 μB/cell


Number 1: volume 204 Å³/cell. Number 2: volume 93 Å³/cell. Number 3: volume 86 Å³/cell.